one.
This record from Alexandria describes a relaxed structure of MoI2NO. The functional is PBE with a Hubbard U.

Its space-group type is P4/mmm (123). Its size of the total moment is 4.0 μB per cell.

Geometry as extended XYZ:
```
5
Lattice="-2.013 -3.927 2.666 4.654 -2.203 0.269 0.672 1.804 3.165" Properties=species:S:1:pos:R:3 pbc="T T T"
I 2.327 -1.102 0.134
I -1.007 -1.964 1.333
Mo 1.656 -2.163 3.050
O 0.336 0.902 1.583
N 0.000 0.000 0.000
```

two.
This record from Alexandria describes a relaxed structure of MoI2NO. The functional is PBE with a Hubbard U.

Its space-group type is P4/mmm (123). Its size of the total moment is 2.4 μB per cell.

Geometry as extended XYZ:
```
5
Lattice="-4.419 -3.294 -1.537 2.229 -4.367 2.951 -1.930 1.129 3.129" Properties=species:S:1:pos:R:3 pbc="T T T"
I 1.114 -2.183 1.475
I -2.209 -1.647 -0.769
Mo 0.000 0.000 0.000
O -0.965 0.565 1.565
N -2.060 -3.266 2.271
```

three.
This record from Alexandria describes a relaxed structure of MoI2NO. The functional is PBE with a Hubbard U.

Its space-group type is P4/mmm (123). Its size of the total moment is 1.0 μB per cell.

Geometry as extended XYZ:
```
5
Lattice="-4.682 0.548 -3.226 -0.618 -5.679 -0.067 -2.173 0.199 3.188" Properties=species:S:1:pos:R:3 pbc="T T T"
I -0.309 -2.839 -0.034
I -2.341 0.274 -1.613
Mo 0.000 0.000 0.000
O -3.737 -2.466 -0.053
N -1.087 0.099 1.594
```

four.
This record from Alexandria describes a relaxed structure of MoI2NO. The functional is PBE with a Hubbard U.

Its space-group type is P4/mmm (123). Its size of the total moment is 1.9 μB per cell.

Geometry as extended XYZ:
```
5
Lattice="-3.106 2.791 2.517 -3.185 -3.688 0.158 1.633 -1.264 3.416" Properties=species:S:1:pos:R:3 pbc="T T T"
I -1.593 -1.844 0.079
I -1.553 1.395 1.259
Mo -2.329 -1.080 3.046
O 0.000 0.000 0.000
N 0.816 -0.632 1.708
```

Result of the stability comparison: two is the most stable of them.